! Rb3AgPd2Cl9 PBE optimized geometry; values from VASP
&SYSTEM
  ibrav = 0, nat = 15, ntyp = 4
/
ATOMIC_SPECIES
Rb 85.47 Rb.upf
Cl 35.45 Cl.upf
Pd 106.42 Pd.upf
Ag 107.87 Ag.upf
CELL_PARAMETERS angstrom
-4.9167 2.4874 -4.5646
2.1037 -6.8285 -0.3790
-6.3522 -2.2681 5.6063
ATOMIC_POSITIONS crystal
Rb 0.0000 0.0000 0.0000
Cl 0.1714 0.3428 0.3241
Cl 0.5000 0.5000 0.0000
Rb 0.3333 0.6667 0.6632
Cl 0.0000 0.5000 0.0000
Cl 0.3428 0.1714 0.6759
Pd 0.6667 0.3333 0.8389
Rb 0.6667 0.3333 0.3368
Pd 0.3333 0.6667 0.1611
Ag 0.0000 0.0000 0.5000
Cl 0.8286 0.1714 0.6759
Cl 0.5000 0.0000 0.0000
Cl 0.6572 0.8286 0.3241
Cl 0.1714 0.8286 0.3241
Cl 0.8286 0.6572 0.6759
! Formation energy without anion corrections in eV/atom: -1.080
! Space-group type: P-3m1 (164)
! DFT total energy in eV/atom: -3.2642